PaCoRhO6 after structural relaxation, computed with PBE with a Hubbard U.

The calculation puts the raw total energy at -7.4858 eV per atom. The value obtained for the density of states at the Fermi level is 10.2 states/eV per cell.

It has space group P-31c (No. 163), with a = 5.3590 Å, b = 5.3590 Å, c = 8.8120 Å, α = 90.00°, β = 90.00° and γ = 120.00°. The distinct sites, in fractional coordinates, are Pa at (0.3333, 0.6667, 0.2500), Co at (0.0000, 0.0000, 0.0000), Rh at (0.3333, 0.6667, 0.7500) and O at (0.0232, 0.3476, 0.6256).